Here is crystalline La2MgZn3Ge4 at its relaxed geometry from Alexandria via LeMat-Bulk. Energies are from PBE.

It has space group P-4m2 (No. 115), with a = 4.459 Å, b = 4.459 Å, c = 10.520 Å, α = 90.00°, β = 90.00° and γ = 90.00°. Symmetry generates all atoms from La at (0.000, 0.500, 0.235), Mg at (0.000, 0.000, 0.500), Zn at (0.000, 0.500, 0.878), Zn at (0.500, 0.500, 0.500), Ge at (0.000, 0.000, 0.000), Ge at (0.000, 0.500, 0.643) and Ge at (0.500, 0.500, 0.000).

The total energy comes out at -38.52 eV per formula unit. Its total moment is 0.000 μB per atom.


Here is crystalline PuTi4In at its relaxed geometry from Alexandria via LeMat-Bulk. Energies are from PBE.

It has space group F-43m (No. 216), with a = 7.816 Å, b = 7.816 Å, c = 7.816 Å, α = 90.00°, β = 90.00° and γ = 90.00°. Symmetry generates all atoms from Pu at (0.000, 0.000, 0.000), Ti at (0.126, 0.126, 0.374) and In at (0.250, 0.250, 0.750).

The total energy comes out at -47.56 eV per formula unit. Its total moment is 1.015 μB per atom.


no.,ΔE_f (eV/atom)
1,-0.478
2,0.182